1.
A crystal of K2CuH14C4N6O8 relaxed with PBEsol, computed with meta-GGA SCAN.

Unit cell a=3.858 b=12.590 c=13.663 alpha=90.00 beta=94.45 gamma=90.00
Each line ends with the local moment (μB).
Positions (direct):
K 0.878 0.078 0.642  0.00
K 0.378 0.422 0.142  0.00
K 0.122 0.922 0.358  0.00
K 0.622 0.578 0.858  0.00
Cu 0.500 0.500 0.500  0.66
Cu 0.000 0.000 0.000  0.66
H 0.120 0.522 0.336  0.00
H 0.620 0.978 0.836  0.00
H 0.880 0.478 0.664  0.00
H 0.380 0.022 0.164  0.00
H 0.017 0.212 0.387  0.00
H 0.517 0.288 0.887  0.00
H 0.983 0.788 0.613  0.00
H 0.483 0.712 0.113  0.00
H 0.675 0.327 0.597  0.00
H 0.175 0.173 0.097  0.00
H 0.325 0.673 0.403  0.00
H 0.825 0.827 0.903  0.00
H 0.553 0.114 0.425  0.00
H 0.053 0.386 0.925  0.00
H 0.447 0.886 0.575  0.00
H 0.947 0.614 0.075  0.00
H 0.610 0.118 0.308  0.00
H 0.110 0.382 0.808  0.00
H 0.390 0.882 0.692  0.00
H 0.890 0.618 0.192  0.00
H 0.708 0.252 0.234  0.00
H 0.208 0.248 0.734  0.00
H 0.292 0.748 0.766  0.00
H 0.792 0.752 0.266  0.00
H 0.719 0.163 0.151  0.00
H 0.219 0.337 0.651  0.00
H 0.281 0.837 0.849  0.00
H 0.781 0.663 0.349  0.00
C 0.067 0.371 0.355  0.00
C 0.567 0.129 0.855  0.00
C 0.933 0.629 0.645  0.00
C 0.433 0.871 0.145  0.00
C 0.352 0.268 0.496  0.00
C 0.852 0.232 0.996  0.00
C 0.648 0.732 0.504  0.00
C 0.148 0.768 0.004  0.00
N 0.196 0.463 0.385  0.07
N 0.696 0.037 0.885  0.07
N 0.804 0.537 0.615  0.07
N 0.304 0.963 0.115  0.07
N 0.136 0.281 0.411  0.00
N 0.636 0.219 0.911  0.00
N 0.864 0.719 0.589  0.00
N 0.364 0.781 0.089  0.00
N 0.485 0.352 0.544  0.07
N 0.985 0.148 0.044  0.07
N 0.515 0.648 0.456  0.07
N 0.015 0.852 0.956  0.07
O 0.883 0.357 0.273  0.01
O 0.383 0.143 0.773  0.01
O 0.117 0.643 0.727  0.01
O 0.617 0.857 0.227  0.01
O 0.404 0.172 0.523  0.01
O 0.904 0.328 0.023  0.01
O 0.596 0.828 0.477  0.01
O 0.096 0.672 0.977  0.01
O 0.676 0.080 0.371  0.00
O 0.176 0.420 0.871  0.00
O 0.324 0.920 0.629  0.00
O 0.824 0.580 0.129  0.00
O 0.575 0.188 0.204  0.00
O 0.075 0.312 0.704  0.00
O 0.425 0.812 0.796  0.00
O 0.925 0.688 0.296  0.00

## Properties
As for the density of states at the Fermi level: 0.0 states/eV per cell. The final energy is -7.305 eV/atom. The total moment is 2.00 μB per cell. As for the space group: No. 14.

2.
A crystal of NaSr3Pd relaxed with PBEsol, computed with meta-GGA SCAN.

Unit cell a=5.944 b=5.944 c=5.944 alpha=90.00 beta=90.00 gamma=90.00
Positions (direct):
Sr 0.000 0.500 0.000
Sr 0.000 0.000 0.500
Sr 0.500 0.000 0.000
Pd 0.000 0.000 0.000
Na 0.500 0.500 0.500

## Properties
As for the density of states at the Fermi level: 2.2 states/eV per cell. The final energy is -21.080 eV/atom. The total moment is 0.00 μB per cell. Its formation enthalpy at 0 K is -1.58 eV/f.u. As for the space group: No. 221.

3.
A crystal of CdPbS2 relaxed with PBEsol, computed with meta-GGA SCAN.

Unit cell a=3.994 b=3.994 c=6.902 alpha=73.18 beta=73.18 gamma=60.00
Positions (direct):
Pb 0.000 0.000 0.000
S 0.241 0.241 0.277
S 0.759 0.759 0.723
Cd 0.500 0.500 0.500

## Properties
The final energy is -31.967 eV/atom. The total moment is 0.00 μB per cell. The value obtained for the raw formation energy is -604 meV/atom. As for the space group: No. 166.

4.
A crystal of RbLi3Mg relaxed with PBEsol, computed with meta-GGA SCAN.

Unit cell a=5.634 b=5.634 c=5.634 alpha=90.00 beta=90.00 gamma=90.00
Positions (direct):
Mg 0.000 0.000 0.000
Rb 0.500 0.500 0.500
Li 0.000 0.500 0.000
Li 0.000 0.000 0.500
Li 0.500 0.000 0.000

## Properties
As for the density of states at the Fermi level: 2.8 states/eV per cell. The final energy is -6.334 eV/atom. The total moment is 0.00 μB per cell. Its formation enthalpy at 0 K is 1.21 eV/f.u. As for the space group: No. 221.

5.
A crystal of La3Co29Si4B10 relaxed with PBEsol, computed with meta-GGA SCAN.

Unit cell a=7.762 b=11.055 c=11.055 alpha=90.00 beta=90.00 gamma=90.00
Each line ends with the local moment (μB).
Positions (direct):
La 0.000 0.250 0.750  -0.10
La 0.000 0.250 0.250  -0.10
La 0.000 0.750 0.750  -0.10
La 0.000 0.750 0.250  -0.10
La 0.500 0.000 0.000  -0.08
La 0.500 0.500 0.500  -0.08
Co 0.337 0.825 0.838  1.12
Co 0.337 0.175 0.162  1.12
Co 0.337 0.662 0.325  1.12
Co 0.337 0.338 0.675  1.12
Co 0.663 0.838 0.825  1.12
Co 0.663 0.325 0.662  1.12
Co 0.663 0.675 0.338  1.12
Co 0.663 0.162 0.175  1.12
Co 0.663 0.675 0.662  1.12
Co 0.663 0.325 0.338  1.12
Co 0.663 0.838 0.175  1.12
Co 0.663 0.162 0.825  1.12
Co 0.337 0.662 0.675  1.12
Co 0.337 0.175 0.838  1.12
Co 0.337 0.825 0.162  1.12
Co 0.337 0.338 0.325  1.12
Co 0.302 0.609 0.109  1.05
Co 0.302 0.391 0.891  1.05
Co 0.302 0.391 0.109  1.05
Co 0.302 0.609 0.891  1.05
Co 0.698 0.109 0.609  1.05
Co 0.698 0.109 0.391  1.05
Co 0.698 0.891 0.609  1.05
Co 0.698 0.891 0.391  1.05
Co 0.748 0.614 0.114  1.31
Co 0.748 0.386 0.886  1.31
Co 0.748 0.386 0.114  1.31
Co 0.748 0.614 0.886  1.31
Co 0.252 0.114 0.614  1.31
Co 0.252 0.114 0.386  1.31
Co 0.252 0.886 0.614  1.31
Co 0.252 0.886 0.386  1.31
Co 0.028 0.500 0.164  1.16
Co 0.028 0.500 0.836  1.16
Co 0.028 0.336 0.000  1.16
Co 0.028 0.664 0.000  1.16
Co 0.972 0.164 0.500  1.16
Co 0.972 0.000 0.336  1.16
Co 0.972 0.000 0.664  1.16
Co 0.972 0.836 0.500  1.16
Co 0.525 0.500 0.225  1.17
Co 0.525 0.500 0.775  1.17
Co 0.525 0.275 0.000  1.17
Co 0.525 0.725 0.000  1.17
Co 0.475 0.225 0.500  1.17
Co 0.475 0.000 0.275  1.17
Co 0.475 0.000 0.725  1.17
Co 0.475 0.775 0.500  1.17
Co 0.111 0.500 0.610  0.16
Co 0.111 0.500 0.390  0.16
Co 0.111 0.890 0.000  0.16
Co 0.111 0.110 0.000  0.16
Co 0.889 0.610 0.500  0.16
Co 0.889 0.000 0.890  0.16
Co 0.889 0.000 0.110  0.16
Co 0.889 0.390 0.500  0.16
Co 0.532 0.500 0.000  2.11
Co 0.468 0.000 0.500  2.11
Si 0.824 0.500 0.682  -0.02
Si 0.824 0.500 0.318  -0.02
Si 0.824 0.818 0.000  -0.02
Si 0.824 0.182 0.000  -0.02
Si 0.176 0.682 0.500  -0.02
Si 0.176 0.000 0.818  -0.02
Si 0.176 0.000 0.182  -0.02
Si 0.176 0.318 0.500  -0.02
B 0.518 0.685 0.185  -0.04
B 0.518 0.315 0.815  -0.04
B 0.518 0.315 0.185  -0.04
B 0.518 0.685 0.815  -0.04
B 0.482 0.185 0.685  -0.04
B 0.482 0.185 0.315  -0.04
B 0.482 0.815 0.685  -0.04
B 0.482 0.815 0.315  -0.04
B 0.261 0.500 0.256  -0.06
B 0.261 0.500 0.744  -0.06
B 0.261 0.244 0.000  -0.06
B 0.261 0.756 0.000  -0.06
B 0.739 0.256 0.500  -0.06
B 0.739 0.000 0.244  -0.06
B 0.739 0.000 0.756  -0.06
B 0.739 0.744 0.500  -0.06
B 0.891 0.500 0.000  -0.05
B 0.109 0.000 0.500  -0.05
B 0.149 0.500 0.000  -0.03
B 0.851 0.000 0.500  -0.03

## Properties
As for the density of states at the Fermi level: 67.0 states/eV per cell. The final energy is -16.526 eV/atom. The total moment is 57.83 μB per cell. The value obtained for the raw formation energy is -319 meV/atom. As for the space group: No. 129.

6.
A crystal of KZr2Hg relaxed with PBEsol, computed with meta-GGA SCAN.

Unit cell a=3.069 b=5.420 c=6.687 alpha=111.34 beta=103.27 gamma=90.00
Positions (direct):
Hg 0.500 0.000 0.000
K 0.000 0.500 0.000
Zr 0.781 0.795 0.561
Zr 0.219 0.205 0.439

## Properties
As for the density of states at the Fermi level: 3.6 states/eV per cell. The final energy is -34.220 eV/atom. The total moment is 0.00 μB per cell. Its formation enthalpy at 0 K is 1.01 eV/f.u. As for the space group: No. 12.

7.
A crystal of ScOs3I relaxed with PBEsol, computed with meta-GGA SCAN.

Unit cell a=4.666 b=4.666 c=4.666 alpha=90.00 beta=90.00 gamma=90.00
Positions (direct):
I 0.500 0.500 0.500
Sc 0.000 0.000 0.000
Os 0.000 0.500 0.000
Os 0.000 0.000 0.500
Os 0.500 0.000 0.000

## Properties
As for the density of states at the Fermi level: 6.1 states/eV per cell. The final energy is -50.569 eV/atom. The total moment is 0.00 μB per cell. The value obtained for the raw formation energy is 2755 meV/atom. As for the space group: No. 221.

8.
A crystal of KZn2CdB2O6F relaxed with PBEsol, computed with meta-GGA SCAN.

Unit cell a=5.033 b=5.033 c=15.071 alpha=90.00 beta=90.00 gamma=120.00
Positions (direct):
K 0.000 0.000 0.250
K 0.000 0.000 0.750
Zn 0.333 0.667 0.384
Zn 0.667 0.333 0.884
Zn 0.667 0.333 0.616
Zn 0.333 0.667 0.116
Cd 0.000 0.000 0.500
Cd 0.000 0.000 0.000
B 0.667 0.333 0.405
B 0.333 0.667 0.905
B 0.333 0.667 0.595
B 0.667 0.333 0.095
O 0.385 0.318 0.404
O 0.682 0.067 0.404
O 0.933 0.615 0.404
O 0.318 0.385 0.904
O 0.615 0.933 0.904
O 0.067 0.682 0.904
O 0.615 0.682 0.596
O 0.318 0.933 0.596
O 0.067 0.385 0.596
O 0.682 0.615 0.096
O 0.385 0.067 0.096
O 0.933 0.318 0.096
F 0.333 0.667 0.250
F 0.667 0.333 0.750

## Properties
As for the density of states at the Fermi level: 0.0 states/eV per cell. The final energy is -11.546 eV/atom. The total moment is 0.00 μB per cell. The value obtained for the raw formation energy is -2195 meV/atom. As for the space group: No. 163.

9.
A crystal of AlFeW relaxed with PBEsol, computed with meta-GGA SCAN.

Unit cell a=4.072 b=4.072 c=4.072 alpha=60.00 beta=60.00 gamma=60.00
Each line ends with the local moment (μB).
Positions (direct):
Fe 0.500 0.500 0.500  1.45
W 0.250 0.250 0.250  -0.38
Al 0.000 0.000 0.000  -0.03

## Properties
As for the density of states at the Fermi level: 1.2 states/eV per cell. The final energy is -31.118 eV/atom. The total moment is 0.97 μB per cell. Its formation enthalpy at 0 K is 2.22 eV/f.u. As for the space group: No. 216.

10.
A crystal of Fe2IrOs relaxed with PBEsol, computed with meta-GGA SCAN.

Unit cell a=2.637 b=4.448 c=4.573 alpha=99.75 beta=90.00 gamma=107.24
Each line ends with the local moment (μB).
Positions (direct):
Fe 0.750 0.500 0.756  2.72
Fe 0.250 0.500 0.244  2.72
Ir 0.000 0.000 0.500  0.15
Os 0.500 0.000 0.000  -0.14

## Properties
As for the density of states at the Fermi level: 3.9 states/eV per cell. The final energy is -44.798 eV/atom. The total moment is 5.38 μB per cell. Its formation enthalpy at 0 K is 0.04 eV/f.u. As for the space group: No. 12.

11.
A crystal of BaZrGa2As relaxed with PBEsol, computed with meta-GGA SCAN.

Unit cell a=5.104 b=5.147 c=5.147 alpha=90.00 beta=90.00 gamma=90.00
Each line ends with the local moment (μB).
Positions (direct):
As 0.000 0.000 0.000  0.02
Ga 0.000 0.000 0.500  0.01
Ga 0.000 0.500 0.000  0.01
Ba 0.500 0.500 0.500  -0.09
Zr 0.500 0.000 0.000  -0.63

## Properties
As for the density of states at the Fermi level: 4.2 states/eV per cell. The final energy is -24.538 eV/atom. The total moment is 1.16 μB per cell. Its formation enthalpy at 0 K is 0.44 eV/f.u. As for the space group: No. 123.

12.
A crystal of LaSmNi2O6 relaxed with PBEsol, computed with meta-GGA SCAN.

Unit cell a=7.495 b=7.495 c=7.498 alpha=90.00 beta=90.00 gamma=90.00
Each line ends with the local moment (μB).
Positions (direct):
La 0.500 0.000 0.000  0.00
La 0.500 0.500 0.000  0.00
La 0.000 0.500 0.000  0.00
La 0.000 0.000 0.500  0.00
Sm 0.000 0.000 0.000  0.00
Sm 0.500 0.000 0.500  0.00
Sm 0.500 0.500 0.500  0.00
Sm 0.000 0.500 0.500  0.00
Ni 0.250 0.750 0.749  1.03
Ni 0.250 0.250 0.749  1.03
Ni 0.750 0.750 0.749  1.03
Ni 0.750 0.250 0.749  1.03
Ni 0.250 0.750 0.251  1.03
Ni 0.250 0.250 0.251  1.03
Ni 0.750 0.750 0.251  1.03
Ni 0.750 0.250 0.251  1.03
O 0.247 0.753 0.000  -0.01
O 0.247 0.247 0.000  -0.01
O 0.753 0.753 0.000  -0.01
O 0.753 0.247 0.000  -0.01
O 0.252 0.748 0.500  -0.02
O 0.252 0.252 0.500  -0.02
O 0.748 0.748 0.500  -0.02
O 0.748 0.252 0.500  -0.02
O 0.500 0.750 0.743  -0.01
O 0.500 0.250 0.743  -0.01
O 0.000 0.750 0.749  -0.01
O 0.000 0.250 0.749  -0.01
O 0.500 0.750 0.257  -0.01
O 0.500 0.250 0.257  -0.01
O 0.000 0.750 0.251  -0.01
O 0.000 0.250 0.251  -0.01
O 0.250 0.000 0.749  -0.01
O 0.250 0.500 0.743  -0.01
O 0.750 0.000 0.749  -0.01
O 0.750 0.500 0.743  -0.01
O 0.250 0.000 0.251  -0.01
O 0.250 0.500 0.257  -0.01
O 0.750 0.000 0.251  -0.01
O 0.750 0.500 0.257  -0.01

## Properties
As for the density of states at the Fermi level: 2.6 states/eV per cell. The final energy is -18.242 eV/atom. The total moment is 8.01 μB per cell. The value obtained for the raw formation energy is -2514 meV/atom. As for the space group: No. 123.

13.
A crystal of NiSeN2 relaxed with PBEsol, computed with meta-GGA SCAN.

Unit cell a=3.007 b=3.007 c=6.021 alpha=75.54 beta=75.54 gamma=60.00
Each line ends with the local moment (μB).
Positions (direct):
Ni 0.000 0.000 0.000  0.62
Se 0.500 0.500 0.500  0.00
N 0.897 0.897 0.308  0.01
N 0.103 0.103 0.692  0.01

## Properties
As for the density of states at the Fermi level: 1.8 states/eV per cell. The final energy is -12.713 eV/atom. The total moment is 0.62 μB per cell. The value obtained for the raw formation energy is 995 meV/atom. As for the space group: No. 166.

14.
A crystal of SbAu relaxed with PBEsol, computed with meta-GGA SCAN.

Unit cell a=4.126 b=4.126 c=19.206 alpha=90.00 beta=90.00 gamma=120.00
Positions (direct):
Au 0.000 0.000 0.705
Au 0.000 0.000 0.295
Au 0.667 0.333 0.368
Au 0.667 0.333 0.036
Au 0.333 0.667 0.964
Au 0.333 0.667 0.632
Sb 0.000 0.000 0.896
Sb 0.000 0.000 0.104
Sb 0.667 0.333 0.563
Sb 0.667 0.333 0.773
Sb 0.333 0.667 0.227
Sb 0.333 0.667 0.437

## Properties
As for the density of states at the Fermi level: 5.9 states/eV per cell. The final energy is -53.263 eV/atom. The total moment is 0.00 μB per cell. The value obtained for the raw formation energy is -54 meV/atom. As for the space group: No. 164.

15.
A crystal of Tl3Pb5 relaxed with PBEsol, computed with meta-GGA SCAN.

Unit cell a=4.624 b=7.088 c=7.088 alpha=91.37 beta=90.00 gamma=90.00
Positions (direct):
Pb 0.000 0.000 0.000
Pb 0.000 0.500 0.000
Pb 0.000 0.000 0.500
Pb 0.500 0.752 0.248
Pb 0.500 0.248 0.752
Tl 0.000 0.500 0.500
Tl 0.500 0.747 0.747
Tl 0.500 0.253 0.253

## Properties
As for the density of states at the Fermi level: 3.5 states/eV per cell. The final energy is -74.501 eV/atom. The total moment is 0.00 μB per cell. Its formation enthalpy at 0 K is -0.02 eV/f.u. As for the space group: No. 65.

16.
A crystal of Zr2CrHg relaxed with PBEsol, computed with meta-GGA SCAN.

Unit cell a=4.205 b=4.205 c=5.185 alpha=113.92 beta=113.92 gamma=90.00
Each line ends with the local moment (μB).
Positions (direct):
Cr 0.000 0.500 0.000  3.27
Hg 0.500 0.000 0.000  -0.05
Zr 0.750 0.750 0.500  -0.51
Zr 0.250 0.250 0.500  -0.51

## Properties
As for the density of states at the Fermi level: 2.6 states/eV per cell. The final energy is -37.132 eV/atom. The total moment is 1.98 μB per cell. Its formation enthalpy at 0 K is -0.58 eV/f.u. As for the space group: No. 139.